VASP calculation (PBE) on a geometry-optimized ScPa2Si2Ru5 structure.

Values from the calculation:
- E_form (uncorrected): -65.1 kJ/mol of atoms
- DFT total energy: -8.930 eV/atom
- SG: P4/mbm, No. 127

Unit cell a=9.985 b=9.985 c=3.403 alpha=90.00 beta=90.00 gamma=90.00
Fractional positions:
Sc 0.000 0.000 0.000
Sc 0.500 0.500 0.000
Pa 0.175 0.325 0.000
Pa 0.325 0.825 0.000
Pa 0.675 0.175 0.000
Pa 0.825 0.675 0.000
Si 0.122 0.622 0.000
Si 0.378 0.122 0.000
Si 0.622 0.878 0.000
Si 0.878 0.378 0.000
Ru 0.000 0.500 0.500
Ru 0.072 0.784 0.500
Ru 0.216 0.072 0.500
Ru 0.284 0.572 0.500
Ru 0.428 0.284 0.500
Ru 0.500 0.000 0.500
Ru 0.572 0.716 0.500
Ru 0.716 0.428 0.500
Ru 0.784 0.928 0.500
Ru 0.928 0.216 0.500